# 1
Material: YSb2Mo
Method: DFT, PBE
State: optimized geometry

## Properties
- Excess energy over the best structure of this formula in the dataset: 57 meV per atom
- Magnetic moment: 0.00 Bohr magnetons per cell
- DOS at the Fermi energy: 0.628 states/eV per atom
- Raw total energy: -6.590 eV/atom
- ΔE_f (raw): -0.822 eV per formula unit

Unit cell a=7.051 b=7.051 c=7.051 alpha=90.00 beta=90.00 gamma=90.00
Space group Fm-3m (No. 225)
Symmetry-distinct sites (fractional):
Y  0.000  0.000  0.000 [4 per cell]
Sb  0.250  0.250  0.250 [8 per cell]
Mo  0.000  0.000  0.500 [4 per cell]

# 2
Material: Y2Sb2Mo
Method: DFT, PBE
State: optimized geometry

## Properties
- Magnetic moment: 0.00 Bohr magnetons per cell
- DOS at the Fermi energy: 0.253 states/eV per atom
- Raw total energy: -6.898 eV/atom
- ΔE_f (raw): -2.486 eV per formula unit

Unit cell a=7.329 b=7.329 c=4.490 alpha=90.00 beta=90.00 gamma=90.00
Space group P4/mbm (No. 127)
Symmetry-distinct sites (fractional):
Y  0.169  0.331  0.000 [4 per cell]
Sb  0.144  0.644  0.500 [4 per cell]
Mo  0.000  0.000  0.500 [2 per cell]

# 3
Material: YSb2Mo
Method: DFT, PBE
State: optimized geometry

## Properties
- Excess energy over the best structure of this formula in the dataset: 0 meV per atom
- Magnetic moment: 0.00 Bohr magnetons per cell
- DOS at the Fermi energy: 0.636 states/eV per atom
- Raw total energy: -6.647 eV/atom
- ΔE_f (raw): -1.049 eV per formula unit

Unit cell a=3.422 b=3.422 c=7.552 alpha=90.00 beta=90.00 gamma=90.00
Space group P4/mmm (No. 123)
Symmetry-distinct sites (fractional):
Y  0.000  0.000  0.000 [1 per cell]
Sb  0.500  0.500  0.289 [2 per cell]
Mo  0.000  0.000  0.500 [1 per cell]

# 4
Material: Y3SbMo
Method: DFT, PBE
State: optimized geometry

## Properties
- Excess energy over the best structure of this formula in the dataset: 0 meV per atom
- Magnetic moment: 0.00 Bohr magnetons per cell
- DOS at the Fermi energy: 0.578 states/eV per atom
- Raw total energy: -6.672 eV/atom
- ΔE_f (raw): 0.984 eV per formula unit

Unit cell a=5.319 b=5.319 c=5.319 alpha=90.00 beta=90.00 gamma=90.00
Space group Pm-3m (No. 221)
Symmetry-distinct sites (fractional):
Y  0.000  0.000  0.500 [3 per cell]
Sb  0.500  0.500  0.500 [1 per cell]
Mo  0.000  0.000  0.000 [1 per cell]